# Li3Mn5OF11

A relaxed Li3Mn5OF11 crystal (PBE with a Hubbard U, the Alexandria database).

Lattice parameters (Å, degrees): 5.3554 5.6991 9.2386 105.50 90.43 117.84
Closest atoms and distances in Å follow each position.
Space group P1 (No. 1)
Unique sites:
Li: 0.0000 0.0000 0.0000 x1  3 F 1.94-2.02
Li: 0.0877 0.1620 0.3553 x1  3 F 2.02-2.11, 1 O 2.09
Li: 0.5907 0.1763 0.8666 x1  3 F 1.94-2.13
Mn: 0.2743 0.5515 0.7552 x1  6 F 2.08-2.13
Mn: 0.3145 0.6122 0.0911 x1  6 F 2.06-2.13
Mn: 0.4967 0.0330 0.4897 x1  1 O 2.00, 3 F 2.14-2.21
Mn: 0.8039 0.5676 0.2548 x1  1 O 2.00, 5 F 2.11-2.21
Mn: 0.8569 0.6912 0.5983 x1  1 O 1.99, 2 F 2.12-2.15
O: 0.0709 0.8527 0.4426 x1  3 Mn 1.99-2.00, 1 Li 2.09
F: 0.0182 0.3271 0.8905 x1  1 Li 2.02, 2 Mn 2.08-2.13
F: 0.0279 0.3343 0.1995 x1  2 Li 2.04-2.21, 2 Mn 2.11-2.15
F: 0.0826 0.8219 0.1308 x1  1 Li 1.94, 2 Mn 2.06-2.13
F: 0.1248 0.8433 0.8088 x1  2 Li 2.02-2.26, 2 Mn 2.11-2.12
F: 0.5009 0.3537 0.0539 x1  1 Li 1.94, 2 Mn 2.10-2.11
F: 0.5193 0.3607 0.3961 x1  1 Li 2.02, 2 Mn 2.14-2.21
F: 0.5296 0.3604 0.7070 x1  2 Mn 2.10-2.29, 1 Li 2.13
F: 0.5608 0.8449 0.6523 x1  3 Mn 2.13-2.17, 1 Li 2.29
F: 0.5756 0.8278 0.9517 x1  1 Li 2.00, 2 Mn 2.10-2.11
F: 0.6162 0.8473 0.2881 x1  3 Mn 2.09-2.21, 1 Li 2.26
F: 0.9698 0.3417 0.5542 x1  1 Li 2.11, 3 Mn 2.12-2.28

DFT total energy ... -112.17 eV/cell